# UI2O

A relaxed UI2O crystal (PBE, Alexandria).

As for the formation energy (no corrections): -1.72 eV/atom. As for the energy: -6.5552 eV/atom.

It has space group R3m (No. 160, hexagonal axes), with a = 3.9025 Å, b = 3.9025 Å, c = 26.8558 Å, α = 90.00°, β = 90.00° and γ = 120.00°. The inequivalent atoms are U at (0.0000, 0.0000, 0.0000), I at (0.0000, 0.0000, 0.5783), I at (0.0000, 0.0000, 0.7550) and O at (0.0000, 0.0000, 0.3333).